(1)
Entry from Alexandria: CeGdZn after structural relaxation (GGA-PBE).

```
3
Lattice="4.9615 0.0000 0.0000 -2.4807 4.2968 0.0000 0.0000 0.0000 3.4898" Properties=species:S:1:pos:R:3 pbc="T T T"
Ce 0.0000 0.0000 0.0000
Gd 0.0000 2.8645 2.1520
Zn 2.4807 1.4322 1.1809
```



(2)
Entry from Alexandria: CeGd2Zn after structural relaxation (GGA-PBE).

```
4
Lattice="2.0582 1.1883 9.3841 -2.0582 1.1883 9.3841 0.0000 -2.3766 9.3841" Properties=species:S:1:pos:R:3 pbc="T T T"
Ce 0.0000 0.0000 0.0000
Gd 0.0000 0.0000 11.0134
Gd 0.0000 0.0000 17.1388
Zn 0.0000 0.0000 14.0761
```



For the records above, the corresponding total magnetic moment values read 6.70, 13.94 μB/cell.
For the records above, the corresponding DFT formation energy values read -0.01, 0.89 eV/atom.
For the records above, the corresponding DOS(E_F) values read 5.63, 7.72 states/eV/cell.